[1]
K2CuAg: optimized geometry, GGA-PBE.

a = 8.5441 Å, b = 8.5441 Å, c = 8.5441 Å
α = 33.03°, β = 33.03°, γ = 33.03°
Positions (direct):
K 0.2470 0.2470 0.2470
K 0.7530 0.7530 0.7530
Cu 0.5000 0.5000 0.5000
Ag 0.0000 0.0000 0.0000

Properties
Symmetry: No. 166
Formation enthalpy at 0 K: 1.3 eV per formula unit
Total moment: 0.00 μB/cell
Distance to the lowest polymorph of the same formula: 0.608 eV per formula unit
Energy: -1.95 eV/atom

[2]
K2CuAg: optimized geometry, GGA-PBE.

a = 5.0309 Å, b = 4.8418 Å, c = 6.3335 Å
α = 90.00°, β = 113.28°, γ = 90.00°
Positions (direct):
K 0.0000 0.0000 0.0000
K 0.2967 0.5000 0.5956
Cu 0.6118 0.5000 0.2254
Ag 0.6897 0.0000 0.3791

Properties
N(E_F): 1.2 states/eV per cell
Symmetry: No. 6
Formation enthalpy at 0 K: 0.7 eV per formula unit
Total moment: 0.00 μB/cell
Distance to the lowest polymorph of the same formula: 0.000 eV per formula unit
Energy: -2.10 eV/atom

[3]
KCu2Ag2: optimized geometry, GGA-PBE.

a = 8.2182 Å, b = 8.2182 Å, c = 2.8179 Å
α = 90.00°, β = 90.00°, γ = 90.00°
Positions (direct):
K 0.0000 0.0000 0.0000
K 0.5000 0.5000 0.0000
Cu 0.1676 0.3324 0.5000
Cu 0.3324 0.8324 0.5000
Cu 0.6676 0.1676 0.5000
Cu 0.8324 0.6676 0.5000
Ag 0.1253 0.6253 0.0000
Ag 0.3747 0.1253 0.0000
Ag 0.6253 0.8747 0.0000
Ag 0.8747 0.3747 0.0000

Properties
N(E_F): 3.6 states/eV per cell
Symmetry: No. 127
Formation enthalpy at 0 K: 1.1 eV per formula unit
Total moment: 0.00 μB/cell
Distance to the lowest polymorph of the same formula: 0.113 eV per formula unit
Energy: -2.79 eV/atom

[4]
K2CuAg: optimized geometry, GGA-PBE.

a = 6.0238 Å, b = 6.0238 Å, c = 5.8637 Å
α = 119.01°, β = 119.01°, γ = 47.73°
Positions (direct):
K 0.0000 0.0000 0.0000
K 0.1900 0.1900 0.6894
Cu 0.3821 0.3821 0.3811
Ag 0.7999 0.7999 0.2999

Properties
N(E_F): 1.6 states/eV per cell
Symmetry: No. 8
Formation enthalpy at 0 K: 0.9 eV per formula unit
Total moment: 0.00 μB/cell
Distance to the lowest polymorph of the same formula: 0.141 eV per formula unit
Energy: -2.07 eV/atom

[5]
KCu2Ag2: optimized geometry, GGA-PBE.

a = 8.1639 Å, b = 8.1639 Å, c = 2.8312 Å
α = 90.00°, β = 90.00°, γ = 90.00°
Positions (direct):
K 0.0000 0.0000 0.0000
K 0.5000 0.5000 0.0000
Cu 0.1107 0.3893 0.0000
Cu 0.3893 0.8893 0.0000
Cu 0.6107 0.1107 0.0000
Cu 0.8893 0.6107 0.0000
Ag 0.1782 0.6782 0.5000
Ag 0.3218 0.1782 0.5000
Ag 0.6782 0.8218 0.5000
Ag 0.8218 0.3218 0.5000

Properties
N(E_F): 2.8 states/eV per cell
Symmetry: No. 127
Formation enthalpy at 0 K: 1.0 eV per formula unit
Total moment: 0.00 μB/cell
Distance to the lowest polymorph of the same formula: 0.000 eV per formula unit
Energy: -2.81 eV/atom

[6]
K2CuAg: optimized geometry, GGA-PBE.

a = 5.4517 Å, b = 5.4517 Å, c = 5.4517 Å
α = 60.00°, β = 60.00°, γ = 60.00°
Positions (direct):
K 0.0000 0.0000 0.0000
K 0.2500 0.2500 0.2500
Cu 0.7500 0.7500 0.7500
Ag 0.5000 0.5000 0.5000

Properties
N(E_F): 1.2 states/eV per cell
Symmetry: No. 216
Formation enthalpy at 0 K: 1.2 eV per formula unit
Total moment: 0.00 μB/cell
Distance to the lowest polymorph of the same formula: 0.515 eV per formula unit
Energy: -1.97 eV/atom

[7]
K2CuAg2: optimized geometry, GGA-PBE.

a = 6.0742 Å, b = 6.0742 Å, c = 6.0742 Å
α = 114.54°, β = 114.54°, γ = 99.75°
Positions (direct):
K 0.2500 0.7500 0.5000
K 0.7500 0.2500 0.5000
Cu 0.0000 0.0000 0.0000
Ag 0.3269 0.3269 0.0000
Ag 0.6731 0.6731 0.0000

Properties
N(E_F): 1.9 states/eV per cell
Symmetry: No. 139
Formation enthalpy at 0 K: 1.3 eV per formula unit
Total moment: 0.00 μB/cell
Distance to the lowest polymorph of the same formula: 0.200 eV per formula unit
Energy: -2.14 eV/atom

[8]
K2CuAg: optimized geometry, GGA-PBE.

a = 3.7007 Å, b = 3.7007 Å, c = 9.8854 Å
α = 90.00°, β = 90.00°, γ = 90.00°
Positions (direct):
K 0.0000 0.0000 0.0000
K 0.5000 0.5000 0.4157
Cu 0.5000 0.5000 0.7329
Ag 0.0000 0.0000 0.6789

Properties
N(E_F): 1.8 states/eV per cell
Symmetry: No. 99
Formation enthalpy at 0 K: 0.9 eV per formula unit
Total moment: 0.00 μB/cell
Distance to the lowest polymorph of the same formula: 0.173 eV per formula unit
Energy: -2.06 eV/atom

[9]
K2CuAg: optimized geometry, GGA-PBE.

a = 5.7252 Å, b = 5.7252 Å, c = 4.0712 Å
α = 90.00°, β = 90.00°, γ = 90.11°
Positions (direct):
K 0.0000 0.5000 0.0000
K 0.5000 0.0000 0.0000
Cu 0.0000 0.0000 0.5000
Ag 0.5000 0.5000 0.5000

Properties
N(E_F): 0.7 states/eV per cell
Symmetry: No. 65
Formation enthalpy at 0 K: 1.1 eV per formula unit
Total moment: 0.00 μB/cell
Distance to the lowest polymorph of the same formula: 0.411 eV per formula unit
Energy: -2.00 eV/atom

[10]
KCu4Ag: optimized geometry, GGA-PBE.

a = 5.1801 Å, b = 5.1801 Å, c = 5.1801 Å
α = 60.00°, β = 60.00°, γ = 60.00°
Positions (direct):
K 0.0000 0.0000 0.0000
Cu 0.1288 0.6237 0.6237
Cu 0.6237 0.1288 0.6237
Cu 0.6237 0.6237 0.1288
Cu 0.6237 0.6237 0.6237
Ag 0.2500 0.2500 0.2500

Properties
N(E_F): 1.5 states/eV per cell
Symmetry: No. 216
Formation enthalpy at 0 K: 1.5 eV per formula unit
Total moment: 0.00 μB/cell
Energy: -3.14 eV/atom

[11]
KCu2Ag2: optimized geometry, GGA-PBE.

a = 6.3910 Å, b = 6.3910 Å, c = 6.3910 Å
α = 140.31°, β = 140.31°, γ = 57.38°
Positions (direct):
K 0.0000 0.0000 0.0000
Cu 0.3911 0.3911 0.0000
Cu 0.6089 0.6089 0.0000
Ag 0.2500 0.7500 0.5000
Ag 0.7500 0.2500 0.5000

Properties
N(E_F): 2.1 states/eV per cell
Symmetry: No. 139
Formation enthalpy at 0 K: 1.2 eV per formula unit
Total moment: 0.00 μB/cell
Distance to the lowest polymorph of the same formula: 0.286 eV per formula unit
Energy: -2.75 eV/atom

[12]
K2CuAg: optimized geometry, GGA-PBE.

a = 5.7353 Å, b = 5.7353 Å, c = 5.7353 Å
α = 60.00°, β = 60.00°, γ = 60.00°
Positions (direct):
K 0.2500 0.2500 0.2500
K 0.7500 0.7500 0.7500
Cu 0.0000 0.0000 0.0000
Ag 0.5000 0.5000 0.5000

Properties
N(E_F): 0.7 states/eV per cell
Symmetry: No. 225
Formation enthalpy at 0 K: 1.1 eV per formula unit
Total moment: 0.00 μB/cell
Distance to the lowest polymorph of the same formula: 0.411 eV per formula unit
Energy: -2.00 eV/atom

[13]
KCuAg3: optimized geometry, GGA-PBE.

a = 5.5513 Å, b = 5.5513 Å, c = 5.5513 Å
α = 90.00°, β = 90.00°, γ = 90.00°
Positions (direct):
K 0.0000 0.0000 0.0000
Cu 0.5000 0.5000 0.5000
Ag 0.0000 0.0000 0.5000
Ag 0.0000 0.5000 0.0000
Ag 0.5000 0.0000 0.0000

Properties
N(E_F): 3.4 states/eV per cell
Symmetry: No. 221
Formation enthalpy at 0 K: 7.2 eV per formula unit
Total moment: 0.00 μB/cell
Distance to the lowest polymorph of the same formula: 5.862 eV per formula unit
Energy: -1.30 eV/atom

[14]
KCuAg3: optimized geometry, GGA-PBE.

a = 5.0319 Å, b = 5.0319 Å, c = 5.0319 Å
α = 90.00°, β = 90.00°, γ = 90.00°
Positions (direct):
K 0.0000 0.0000 0.0000
Cu 0.5000 0.5000 0.5000
Ag 0.0000 0.5000 0.5000
Ag 0.5000 0.0000 0.5000
Ag 0.5000 0.5000 0.0000

Properties
N(E_F): 1.6 states/eV per cell
Symmetry: No. 221
Formation enthalpy at 0 K: 1.4 eV per formula unit
Total moment: 0.00 μB/cell
Distance to the lowest polymorph of the same formula: 0.000 eV per formula unit
Energy: -2.48 eV/atom

[15]
K2CuAg2: optimized geometry, GGA-PBE.

a = 7.0866 Å, b = 7.0866 Å, c = 5.4762 Å
α = 90.00°, β = 90.00°, γ = 90.00°
Positions (direct):
K 0.1782 0.3218 0.0000
K 0.3218 0.8218 0.0000
K 0.6782 0.1782 0.0000
K 0.8218 0.6782 0.0000
Cu 0.0000 0.0000 0.5000
Cu 0.5000 0.5000 0.5000
Ag 0.1434 0.6434 0.5000
Ag 0.3566 0.1434 0.5000
Ag 0.6434 0.8566 0.5000
Ag 0.8566 0.3566 0.5000

Properties
N(E_F): 4.7 states/eV per cell
Symmetry: No. 127
Formation enthalpy at 0 K: 1.1 eV per formula unit
Total moment: 0.00 μB/cell
Distance to the lowest polymorph of the same formula: 0.000 eV per formula unit
Energy: -2.18 eV/atom

[16]
K2CuAg: optimized geometry, GGA-PBE.

a = 9.2050 Å, b = 9.2050 Å, c = 9.2050 Å
α = 129.06°, β = 129.06°, γ = 74.92°
Positions (direct):
K 0.1101 0.6250 0.9851
K 0.3750 0.3601 0.4851
K 0.6399 0.1250 0.0149
K 0.8750 0.8899 0.5149
Cu 0.0000 0.0000 0.0000
Cu 0.7500 0.2500 0.5000
Ag 0.2500 0.7500 0.5000
Ag 0.5000 0.5000 0.0000

Properties
N(E_F): 0.0 states/eV per cell
Symmetry: No. 122
Formation enthalpy at 0 K: 1.8 eV per formula unit
Total moment: 0.00 μB/cell
Distance to the lowest polymorph of the same formula: 1.071 eV per formula unit
Energy: -1.83 eV/atom

[17]
K2CuAg: optimized geometry, GGA-PBE.

a = 4.8678 Å, b = 4.8678 Å, c = 6.8764 Å
α = 90.00°, β = 90.00°, γ = 90.00°
Positions (direct):
K 0.0000 0.0000 0.0000
K 0.5000 0.5000 0.4950
Cu 0.5000 0.5000 0.9931
Ag 0.0000 0.0000 0.5013

Properties
Symmetry: No. 99
Formation enthalpy at 0 K: 1.4 eV per formula unit
Total moment: 0.16 μB/cell
Distance to the lowest polymorph of the same formula: 0.621 eV per formula unit
Energy: -1.95 eV/atom

[18]
KNa2CuAg: optimized geometry, GGA-PBE.

a = 5.5556 Å, b = 5.5556 Å, c = 5.0847 Å
α = 90.00°, β = 90.00°, γ = 90.00°
Positions (direct):
K 0.0000 0.0000 0.0000
Na 0.0000 0.5000 0.5000
Na 0.5000 0.0000 0.5000
Cu 0.5000 0.5000 0.5000
Ag 0.5000 0.5000 0.0000

Properties
N(E_F): 1.7 states/eV per cell
Symmetry: No. 123
Formation enthalpy at 0 K: 0.9 eV per formula unit
Total moment: 0.00 μB/cell
Energy: -1.96 eV/atom

[19]
KCuNi2Ag: optimized geometry, GGA-PBE.

a = 4.5615 Å, b = 4.5615 Å, c = 4.9418 Å
α = 90.00°, β = 90.00°, γ = 90.00°
Positions (direct):
K 0.0000 0.0000 0.0000
Cu 0.5000 0.5000 0.5000
Ni 0.0000 0.5000 0.5000
Ni 0.5000 0.0000 0.5000
Ag 0.5000 0.5000 0.0000

Properties
N(E_F): 4.1 states/eV per cell
Symmetry: No. 123
Formation enthalpy at 0 K: 3.7 eV per formula unit
Total moment: 0.50 μB/cell
Energy: -3.18 eV/atom

[20]
K2CuAgO4: optimized geometry, GGA-PBE.

a = 5.5609 Å, b = 5.5609 Å, c = 5.5609 Å
α = 107.55°, β = 107.55°, γ = 113.39°
Positions (direct):
K 0.0000 0.5000 0.5000
K 0.5000 0.0000 0.5000
Cu 0.0000 0.0000 0.0000
Ag 0.5000 0.5000 0.0000
O 0.0740 0.3639 0.0000
O 0.3639 0.0740 0.0000
O 0.6361 0.6361 0.7101
O 0.9260 0.9260 0.2899

Properties
Energy relative to the elements, uncorrected: -0.490 eV per atom
N(E_F): 4.7 states/eV per cell
Symmetry: No. 121
Total moment: 4.07 μB/cell
Energy: -4.11 eV/atom

[21]
KCuAgP: optimized geometry, GGA-PBE.

a = 6.2147 Å, b = 6.2147 Å, c = 6.2147 Å
α = 139.79°, β = 135.96°, γ = 61.15°
Positions (direct):
K 0.0000 0.0000 0.0000
Cu 0.6949 0.6949 0.0000
Ag 0.3075 0.3075 0.0000
P 0.7437 0.2437 0.5000

Properties
N(E_F): 0.0 states/eV per cell
Symmetry: No. 44
Formation enthalpy at 0 K: -0.5 eV per formula unit
Total moment: 0.00 μB/cell
Energy: -3.50 eV/atom

[22]
KCu2AgPb: optimized geometry, GGA-PBE.

a = 5.1458 Å, b = 5.1458 Å, c = 6.1203 Å
α = 90.00°, β = 90.00°, γ = 90.00°
Positions (direct):
K 0.0000 0.0000 0.0000
Cu 0.0000 0.5000 0.0000
Cu 0.5000 0.0000 0.0000
Ag 0.5000 0.5000 0.5000
Pb 0.0000 0.0000 0.5000

Properties
N(E_F): 2.6 states/eV per cell
Symmetry: No. 123
Formation enthalpy at 0 K: 7.3 eV per formula unit
Total moment: 0.00 μB/cell
Energy: -1.72 eV/atom

[23]
K2CuReAg: optimized geometry, GGA-PBE.

a = 6.0223 Å, b = 6.0223 Å, c = 4.9214 Å
α = 90.00°, β = 90.00°, γ = 90.00°
Positions (direct):
K 0.0000 0.5000 0.0000
K 0.5000 0.0000 0.0000
Cu 0.0000 0.0000 0.0000
Re 0.5000 0.5000 0.5000
Ag 0.0000 0.0000 0.5000

Properties
N(E_F): 3.8 states/eV per cell
Symmetry: No. 123
Formation enthalpy at 0 K: 7.5 eV per formula unit
Total moment: 4.29 μB/cell
Energy: -2.82 eV/atom

[24]
KCuAgS2: optimized geometry, GGA-PBE.

a = 6.6767 Å, b = 6.6767 Å, c = 6.8884 Å
α = 90.00°, β = 90.00°, γ = 128.98°
Positions (direct):
K 0.2500 0.7500 0.7899
K 0.7500 0.2500 0.2101
Cu 0.2500 0.2500 0.0000
Cu 0.7500 0.7500 0.0000
Ag 0.0000 0.0000 0.5000
Ag 0.5000 0.5000 0.5000
S 0.0994 0.9006 0.1988
S 0.4006 0.5994 0.1988
S 0.5994 0.4006 0.8012
S 0.9006 0.0994 0.8012

Properties
Energy relative to the elements, uncorrected: -0.440 eV per atom
N(E_F): 7.1 states/eV per cell
Symmetry: No. 67
Total moment: 0.00 μB/cell
Energy: -3.70 eV/atom

[25]
KCuAg2S2: optimized geometry, GGA-PBE.

a = 6.8846 Å, b = 9.1183 Å, c = 4.5269 Å
α = 90.00°, β = 90.00°, γ = 90.00°
Positions (direct):
K 0.0000 0.0000 0.0000
K 0.5000 0.5000 0.5000
Cu 0.0000 0.5000 0.0000
Cu 0.5000 0.0000 0.5000
Ag 0.0424 0.3267 0.5000
Ag 0.4576 0.8267 0.0000
Ag 0.5424 0.1733 0.0000
Ag 0.9576 0.6733 0.5000
S 0.2102 0.3237 0.0000
S 0.2898 0.8237 0.5000
S 0.7102 0.1763 0.5000
S 0.7898 0.6763 0.0000

Properties
Energy relative to the elements, uncorrected: -0.420 eV per atom
Symmetry: No. 58
Total moment: 0.00 μB/cell
Energy: -3.61 eV/atom

[26]
KCuAgSb: optimized geometry, GGA-PBE.

a = 3.8711 Å, b = 3.8711 Å, c = 14.2980 Å
α = 90.00°, β = 90.00°, γ = 90.00°
Positions (direct):
K 0.2500 0.2500 0.2118
K 0.7500 0.7500 0.7882
Cu 0.2500 0.7500 0.5000
Cu 0.7500 0.2500 0.5000
Ag 0.2500 0.7500 0.0000
Ag 0.7500 0.2500 0.0000
Sb 0.2500 0.2500 0.6276
Sb 0.7500 0.7500 0.3724

Properties
Energy relative to the elements, uncorrected: -0.042 eV per atom
N(E_F): 4.3 states/eV per cell
Symmetry: No. 129
Total moment: 0.00 μB/cell
Energy: -3.08 eV/atom

[27]
KTl2CuAg: optimized geometry, GGA-PBE.

a = 5.2645 Å, b = 5.2645 Å, c = 5.2461 Å
α = 90.00°, β = 90.00°, γ = 90.00°
Positions (direct):
K 0.0000 0.0000 0.0000
Tl 0.0000 0.5000 0.5000
Tl 0.5000 0.0000 0.5000
Cu 0.5000 0.5000 0.5000
Ag 0.5000 0.5000 0.0000

Properties
N(E_F): 2.5 states/eV per cell
Symmetry: No. 123
Formation enthalpy at 0 K: 0.6 eV per formula unit
Total moment: 0.00 μB/cell
Energy: -2.43 eV/atom